(1)
Here is a relaxed AcPr6NdDy2 crystal from the Alexandria database. Energies are from PBE.

Summary:
energy of formation: 0.114 eV/atom
spin magnetization: 0.000 Bohr magnetons per cell
final energy: -91.2 eV/cell
calculated density: 7.0 g cm⁻³

Structure (extended XYZ):
```
20
Lattice="9.427 -2.197 -2.280 0.972 8.828 -2.071 0.972 -2.396 8.745" Properties=species:S:1:pos:R:3 pbc="T T T"
Dy 5.722 4.405 3.387
Pr 1.351 -0.908 6.212
Pr 2.258 4.474 -1.443
Pr 9.083 -0.552 1.836
Pr 6.971 -2.706 3.277
Dy 10.435 2.123 3.388
Pr 9.113 -0.239 5.838
Pr 6.064 5.143 -1.817
Ac 3.329 7.950 -2.324
Pr 7.001 1.280 3.738
Ac 8.042 -3.716 6.719
Nd 3.329 1.642 3.754
Nd 8.042 2.592 0.640
Pr 10.020 5.143 -1.818
Pr 4.399 6.941 1.117
Dy 5.648 -0.171 1.007
Dy 0.935 2.111 1.006
Pr 5.306 -0.909 6.212
Pr 4.370 2.954 0.656
Pr 2.288 4.786 2.558
```

(2)
Here is a relaxed Ac2PuCu crystal from the Alexandria database. Energies are from PBE.

Summary:
energy of formation: 0.114 eV/atom
spin magnetization: 6.826 Bohr magnetons per cell
final energy: -26.2 eV/cell
calculated density: 9.8 g cm⁻³

Structure (extended XYZ):
```
4
Lattice="3.780 0.000 0.000 0.000 3.780 0.000 0.000 0.000 9.009" Properties=species:S:1:pos:R:3 pbc="T T T"
Cu 1.890 1.890 0.000
Ac 0.000 0.000 1.884
Pu 1.890 1.890 4.504
Ac 0.000 0.000 7.125
```

(3)
Here is a relaxed Rb3HoPu2O9 crystal from the Alexandria database. Energies are from PBE.

Summary:
spin magnetization: 4.000 Bohr magnetons per cell
final energy: -118.7 eV/cell
ΔE_f (raw): -2.530 eV/atom
calculated density: 7.3 g cm⁻³

Structure (extended XYZ):
```
15
Lattice="6.100 0.000 0.000 -3.050 5.283 0.000 0.000 0.000 7.481" Properties=species:S:1:pos:R:3 pbc="T T T"
O -1.525 2.642 0.000
O 1.604 0.926 5.074
Pu 0.000 3.522 1.237
O 3.050 3.431 5.074
Rb 3.050 1.761 2.525
Rb 0.000 0.000 0.000
O -1.446 4.357 2.406
O 0.000 1.852 2.406
Ho 0.000 0.000 3.740
Rb 0.000 3.522 4.956
Pu 3.050 1.761 6.244
O 1.525 2.642 0.000
O 3.050 0.000 0.000
O 4.497 0.926 5.074
O 1.446 4.357 2.406
```

(4)
Here is a relaxed AcDyPd4 crystal from the Alexandria database. Energies are from PBE.

Summary:
energy of formation: -0.835 eV/atom
spin magnetization: 0.000 Bohr magnetons per cell
final energy: -69.0 eV/cell
calculated density: 10.6 g cm⁻³

Structure (extended XYZ):
```
12
Lattice="4.219 0.000 -0.865 0.000 5.831 0.000 -0.067 0.000 10.395" Properties=species:S:1:pos:R:3 pbc="T T T"
Pd 0.000 2.915 0.000
Ac 1.152 4.373 5.618
Pd 0.573 2.896 2.796
Pd 0.000 0.000 0.000
Pd 2.391 1.458 0.939
Dy 2.405 4.373 1.009
Ac 3.000 1.458 3.912
Pd 3.579 2.935 6.734
Pd 0.573 0.020 2.796
Pd 1.761 4.373 8.591
Pd 3.579 5.811 6.734
Dy 1.747 1.458 8.521
```

(5)
Here is a relaxed Zr2MnFe crystal from the Alexandria database. Energies are from PBE.

Summary:
energy of formation: -0.109 eV/atom
spin magnetization: 0.600 Bohr magnetons per cell
final energy: -35.2 eV/cell
calculated density: 7.5 g cm⁻³

Structure (extended XYZ):
```
4
Lattice="-0.405 -3.146 -0.274 0.196 -0.301 3.164 -6.319 0.774 0.464" Properties=species:S:1:pos:R:3 pbc="T T T"
Mn -4.844 -1.143 1.793
Zr -3.154 0.386 0.232
Zr -0.006 0.001 0.000
Fe -1.685 -1.530 1.561
```

(6)
Here is a relaxed Ac4O3F8 crystal from the Alexandria database. Energies are from PBE.

Summary:
spin magnetization: 4.007 Bohr magnetons per cell
final energy: -199.0 eV/cell
ΔE_f (raw): -3.547 eV/atom
calculated density: 8.1 g cm⁻³

Structure (extended XYZ):
```
30
Lattice="-6.365 0.886 -5.769 -0.166 -4.988 -7.048 -6.000 -6.161 -0.790" Properties=species:S:1:pos:R:3 pbc="T T T"
O -6.371 -4.724 -9.183
O -8.680 -5.188 -6.707
F -7.887 -5.801 -11.582
Ac -3.000 -3.080 -0.395
F -4.111 -7.432 -5.226
Ac -3.183 0.443 -2.884
F -7.694 -9.517 -8.957
Ac 0.000 0.000 0.000
F -8.177 -7.527 -5.063
O -6.305 -2.750 -6.394
F -10.963 -6.419 -8.283
F -8.420 -2.831 -8.381
F -1.481 -1.213 -1.608
F -4.288 -6.746 -9.234
O -6.161 -5.539 -4.424
Ac -3.083 -5.574 -3.919
F -8.354 -6.841 -9.071
F -1.568 -3.843 -5.324
Ac -3.266 -2.051 -6.408
F -4.355 -2.735 -8.544
F -4.837 -0.745 -4.650
Ac -0.083 -2.494 -3.524
F -4.178 -3.421 -4.536
O -6.226 -7.512 -7.213
O -3.852 -5.075 -6.900
F -11.051 -9.050 -11.999
F -4.645 -4.461 -2.025
Ac -6.266 -5.131 -6.803
Ac -6.183 -2.637 -3.279
F -8.243 -3.517 -4.373
```

(7)
Here is a relaxed Pm5Ga2Ru crystal from the Alexandria database. Energies are from PBE.

Summary:
energy of formation: -0.406 eV/atom
spin magnetization: 0.000 Bohr magnetons per cell
final energy: -84.7 eV/cell
calculated density: 7.3 g cm⁻³

Structure (extended XYZ):
```
16
Lattice="-3.797 2.343 1.319 -0.113 -3.949 6.689 6.973 8.434 5.096" Properties=species:S:1:pos:R:3 pbc="T T T"
Pm -0.057 -1.974 3.345
Pm 0.979 2.038 7.407
Pm 4.451 5.748 10.815
Pm 3.486 4.217 2.548
Ga 3.862 6.497 7.785
Pm -1.389 1.080 2.290
Ru 3.430 2.243 5.893
Ru 0.000 0.000 0.000
Pm 5.515 6.111 5.024
Ga 0.416 3.706 2.822
Pm 2.005 1.079 3.858
Pm 1.345 -1.626 6.761
Ga -0.799 0.330 5.319
Pm 2.083 4.790 5.698
Pm 4.854 3.406 7.928
Ga 2.646 3.122 10.283
```

(8)
Here is a relaxed Na2Pm3SmS6 crystal from the Alexandria database. Energies are from PBE.

Summary:
spin magnetization: 0.000 Bohr magnetons per cell
final energy: -68.9 eV/cell
ΔE_f (raw): -1.879 eV/atom
calculated density: 4.9 g cm⁻³

Structure (extended XYZ):
```
12
Lattice="-2.357 6.567 0.454 -4.435 -5.208 -1.447 1.141 -1.299 6.798" Properties=species:S:1:pos:R:3 pbc="T T T"
Pm -3.513 -3.863 2.274
Pm -2.826 0.030 2.903
Na -3.051 2.635 -0.181
S -4.847 0.697 0.981
S -1.058 1.950 1.771
Na -3.741 -1.276 -0.812
Pm -2.139 3.923 3.531
S -3.909 1.987 4.660
S -1.743 -1.927 1.145
Sm 0.000 0.000 0.000
S -4.593 -1.890 4.034
S -0.804 -0.637 4.824
```

(9)
Here is a relaxed BiTeS2N crystal from the Alexandria database. Energies are from PBE.

Summary:
spin magnetization: 0.000 Bohr magnetons per cell
final energy: -17.9 eV/cell
ΔE_f (raw): 1.133 eV/atom
calculated density: 5.9 g cm⁻³

Structure (extended XYZ):
```
5
Lattice="5.298 0.000 0.000 0.000 5.298 0.000 0.000 0.000 4.150" Properties=species:S:1:pos:R:3 pbc="T T T"
S 2.649 0.000 0.000
S 0.000 2.649 0.000
Bi 0.000 0.000 0.000
Te 2.649 2.649 2.075
N 0.000 0.000 2.075
```

Please write out number 2 again, unchanged.
Here is a relaxed Ac2PuCu crystal from the Alexandria database. Energies are from PBE.

Summary:
energy of formation: 0.114 eV/atom
spin magnetization: 6.826 Bohr magnetons per cell
final energy: -26.2 eV/cell
calculated density: 9.8 g cm⁻³

Structure (extended XYZ):
```
4
Lattice="3.780 0.000 0.000 0.000 3.780 0.000 0.000 0.000 9.009" Properties=species:S:1:pos:R:3 pbc="T T T"
Cu 1.890 1.890 0.000
Ac 0.000 0.000 1.884
Pu 1.890 1.890 4.504
Ac 0.000 0.000 7.125
```

Number 5 is which compound?
Zr2MnFe

Number 5 is which compound?
Zr2MnFe